(1)
The following is a DFT calculation (PBE) of a relaxed structure of Hf2Ti2Al7.

- E_tot: -63.48 eV for the cell shown
- Energy of formation from the pure elements: -13.9 kJ per mole of atoms
- N(E_F): 7.37 states/eV/cell

a = 6.769 Å, b = 4.531 Å, c = 6.769 Å
α = 77.25°, β = 94.07°, γ = 102.75°
Fractional positions:
Hf1 0.795 0.500 0.795
Hf2 0.205 0.500 0.205
Ti1 0.753 0.316 0.247
Ti2 0.247 0.684 0.753
Al1 0.025 0.201 0.602
Al2 0.602 0.799 0.025
Al3 0.975 0.799 0.398
Al4 0.398 0.201 0.975
Al5 0.000 0.000 0.000
Al6 0.563 0.776 0.437
Al7 0.437 0.224 0.563

***

(2)
The following is a DFT calculation (PBE) of a relaxed structure of Hf3Ti2Al4.

- E_tot: -63.44 eV for the cell shown
- Energy of formation from the pure elements: -30.2 kJ per mole of atoms
- N(E_F): 6.47 states/eV/cell

a = 4.486 Å, b = 5.596 Å, c = 8.509 Å
α = 119.32°, β = 90.00°, γ = 113.63°
Fractional positions:
Hf1 0.659 0.317 0.674
Hf2 0.000 0.000 0.000
Hf3 0.341 0.683 0.326
Ti1 0.639 0.279 0.308
Ti2 0.361 0.721 0.692
Al1 0.705 0.409 0.043
Al2 0.295 0.591 0.957
Al3 0.948 0.897 0.615
Al4 0.052 0.103 0.385

***

(3)
The following is a DFT calculation (PBE) of a relaxed structure of HfTi4Al.

- E_tot: -46.09 eV for the cell shown
- Energy of formation from the pure elements: -13.1 kJ per mole of atoms
- N(E_F): 7.18 states/eV/cell

a = 4.125 Å, b = 4.139 Å, c = 6.557 Å
α = 71.60°, β = 90.00°, γ = 90.00°
Fractional positions:
Hf1 0.500 0.500 0.000
Ti1 0.000 0.332 0.336
Ti2 0.500 0.169 0.661
Ti3 0.000 0.668 0.664
Ti4 0.500 0.831 0.339
Al1 0.000 0.000 0.000

***

(4)
The following is a DFT calculation (PBE) of a relaxed structure of Hf4Ti4Al5.

- E_tot: -93.33 eV for the cell shown
- Energy of formation from the pure elements: -23.9 kJ per mole of atoms
- N(E_F): 15.18 states/eV/cell

a = 4.009 Å, b = 7.966 Å, c = 7.966 Å
α = 86.37°, β = 75.43°, γ = 75.43°
Fractional positions:
Hf1 0.773 0.371 0.082
Hf2 0.227 0.629 0.918
Hf3 0.856 0.918 0.371
Hf4 0.144 0.082 0.629
Ti1 0.921 0.476 0.682
Ti2 0.603 0.318 0.476
Ti3 0.079 0.524 0.318
Ti4 0.397 0.682 0.524
Al1 0.701 0.844 0.755
Al2 0.299 0.156 0.245
Al3 0.000 0.000 0.000
Al4 0.545 0.755 0.156
Al5 0.455 0.245 0.844

***

(5)
The following is a DFT calculation (PBE) of a relaxed structure of HfTi3Al.

- E_tot: -31.60 eV for the cell shown
- Energy of formation from the pure elements: 111.6 kJ per mole of atoms
- N(E_F): 9.22 states/eV/cell

a = 4.808 Å, b = 4.808 Å, c = 4.808 Å
α = 90.00°, β = 90.00°, γ = 90.00°
Fractional positions:
Hf1 0.000 0.000 0.000
Al1 0.500 0.500 0.500
Ti1 0.000 0.500 0.000
Ti2 0.000 0.000 0.500
Ti3 0.500 0.000 0.000

***

(6)
The following is a DFT calculation (PBE) of a relaxed structure of Hf3Ti2Al2.

- E_tot: -54.16 eV for the cell shown
- Energy of formation from the pure elements: -14.1 kJ per mole of atoms
- N(E_F): 7.63 states/eV/cell

a = 4.665 Å, b = 3.123 Å, c = 9.695 Å
α = 99.27°, β = 103.92°, γ = 90.00°
Fractional positions:
Hf1 0.000 0.000 0.000
Hf2 0.700 0.200 0.401
Hf3 0.300 0.800 0.599
Ti1 0.568 0.568 0.136
Ti2 0.432 0.432 0.864
Al1 0.143 0.643 0.286
Al2 0.857 0.357 0.714

***

What is the N(E_F) in the first record? 7.37 states/eV/cell

***

What did the first record say?
The following is a DFT calculation (PBE) of a relaxed structure of Hf2Ti2Al7.

- E_tot: -63.48 eV for the cell shown
- Energy of formation from the pure elements: -13.9 kJ per mole of atoms
- N(E_F): 7.37 states/eV/cell

a = 6.769 Å, b = 4.531 Å, c = 6.769 Å
α = 77.25°, β = 94.07°, γ = 102.75°
Fractional positions:
Hf1 0.795 0.500 0.795
Hf2 0.205 0.500 0.205
Ti1 0.753 0.316 0.247
Ti2 0.247 0.684 0.753
Al1 0.025 0.201 0.602
Al2 0.602 0.799 0.025
Al3 0.975 0.799 0.398
Al4 0.398 0.201 0.975
Al5 0.000 0.000 0.000
Al6 0.563 0.776 0.437
Al7 0.437 0.224 0.563